[1]
## TmTh4Sb5 (PBE)

Data for an optimized crystal structure of TmTh4Sb5.

Output
Final energy, eV per cell: -64.05
D(E_F), states/eV/f.u.: 7.02
ΔE to the lowest computed polymorph, eV/atom: 0.002
Crystal system: tetragonal
E_form (uncorrected), eV/atom: -0.929
ρ, g/cm3: 8.9

```
10
Lattice="5.710 0.000 2.754 2.855 7.072 1.377 -0.217 0.000 7.747" Properties=species:S:1:pos:R:3 pbc="T T T"
Th 1.634 1.452 3.922
Th 6.724 5.620 7.961
Sb 2.269 4.307 2.604
Sb 2.864 0.000 1.381
Sb 3.844 5.712 6.636
Tm 0.009 0.000 0.005
Th 3.273 2.823 7.819
Sb 4.514 1.360 5.247
Sb 6.089 2.765 9.278
Th 5.084 4.249 4.064
```

=====

[2]
## TmThSb2 (PBE)

Data for an optimized crystal structure of TmThSb2.

Output
Final energy, eV per cell: -23.23
D(E_F), states/eV/f.u.: 3.69
ΔE to the lowest computed polymorph, eV/atom: 0.210
Crystal system: tetragonal
E_form (uncorrected), eV/atom: -0.774
ρ, g/cm3: 9.6

```
4
Lattice="3.856 0.000 0.000 0.000 5.371 0.000 0.000 0.000 5.371" Properties=species:S:1:pos:R:3 pbc="T T T"
Tm 1.928 2.686 2.686
Th 1.928 0.000 0.000
Sb 0.000 2.686 0.000
Sb 0.000 0.000 2.686
```

=====

[3]
## Tm3Th5Sb8 (PBE)

Data for an optimized crystal structure of Tm3Th5Sb8.

Output
Final energy, eV per cell: -98.84
D(E_F), states/eV/f.u.: 8.95
Crystal system: trigonal
E_form (uncorrected), eV/atom: -0.959
ρ, g/cm3: 8.8

```
16
Lattice="7.725 0.000 4.425 2.595 7.276 4.425 0.045 0.031 8.878" Properties=species:S:1:pos:R:3 pbc="T T T"
Tm 3.885 0.016 6.651
Sb 3.934 5.546 11.043
Sb 2.548 1.796 4.507
Tm 0.022 0.016 4.439
Sb 7.752 5.465 8.936
Th 3.862 0.000 2.212
Sb 2.613 1.842 8.791
Th 1.298 3.638 2.212
Sb 6.545 1.842 11.043
Tm 1.320 3.654 6.651
Th 0.000 0.000 0.000
Sb 7.816 5.511 13.220
Th 5.182 3.654 8.864
Th 5.160 3.638 4.425
Sb 6.431 1.761 6.684
Sb 3.819 5.465 6.684
```

=====

[4]
## Tm2ThSb3 (PBE)

Data for an optimized crystal structure of Tm2ThSb3.

Output
Final energy, eV per cell: -34.80
D(E_F), states/eV/f.u.: 2.17
Crystal system: orthorhombic
E_form (uncorrected), eV/atom: -1.012
ρ, g/cm3: 8.6

```
6
Lattice="-0.526 -2.033 3.871 5.587 2.087 1.856 -5.358 5.366 -0.416" Properties=species:S:1:pos:R:3 pbc="T T T"
Tm -3.608 4.456 0.597
Sb -2.942 1.666 1.728
Sb -0.866 5.597 1.569
Th -0.148 2.710 2.655
Sb 0.569 -0.177 3.742
Tm 3.312 0.964 4.714
```

=====

Q: The lowest ρ belongs to which entry?
A: Tm2ThSb3

=====

Q: Among the records above, which one has the highest final energy?
A: TmThSb2